1.
First-principles (GGA-PBE) data for an optimized crystal structure of Zn2CuAg, as listed in Alexandria.

Summary:
VASP energy   -2.403 eV/atom
Energy relative to the elements   -0.030 eV/atom

Lattice parameters (Å, degrees): 4.084 4.084 3.530 90.00 90.00 90.00
Sites, in units of the cell vectors:
Zn 0.000 0.500 0.000
Zn 0.500 0.000 0.000
Cu 0.000 0.000 0.500
Ag 0.500 0.500 0.500

=====

2.
First-principles (GGA-PBE) data for an optimized crystal structure of Zn2CuAg, as listed in Alexandria.

Summary:
VASP energy   -2.399 eV/atom
Energy relative to the elements   -0.025 eV/atom

Lattice parameters (Å, degrees): 4.523 4.523 4.523 125.70 125.70 80.38
Sites, in units of the cell vectors:
Zn 0.250 0.750 0.500
Zn 0.750 0.250 0.500
Cu 0.000 0.000 0.000
Ag 0.500 0.500 0.000

=====

3.
First-principles (GGA-PBE) data for an optimized crystal structure of ZnCu2Ag2, as listed in Alexandria.

Summary:
VASP energy   -2.831 eV/atom
Energy relative to the elements   0.202 eV/atom
E above lowest polymorph   0.46 eV per formula unit

Lattice parameters (Å, degrees): 7.536 7.536 7.536 154.07 154.07 36.99
Sites, in units of the cell vectors:
Zn 0.000 0.000 0.000
Cu 0.250 0.750 0.500
Cu 0.750 0.250 0.500
Ag 0.400 0.400 0.000
Ag 0.600 0.600 0.000

=====

4.
First-principles (GGA-PBE) data for an optimized crystal structure of Zn4CuAg5, as listed in Alexandria.

Summary:
VASP energy   -2.313 eV/atom
Energy relative to the elements   0.032 eV/atom

Lattice parameters (Å, degrees): 7.227 7.227 8.273 98.23 98.23 22.93
Sites, in units of the cell vectors:
Zn 0.037 0.037 0.270
Zn 0.321 0.321 0.579
Zn 0.679 0.679 0.421
Zn 0.963 0.963 0.730
Cu 0.500 0.500 0.500
Ag 0.151 0.151 0.718
Ag 0.185 0.185 0.092
Ag 0.500 0.500 0.000
Ag 0.815 0.815 0.908
Ag 0.849 0.849 0.282

=====

5.
First-principles (GGA-PBE) data for an optimized crystal structure of ZnCu2Ag, as listed in Alexandria.

Summary:
VASP energy   -3.059 eV/atom
Energy relative to the elements   0.020 eV/atom

Lattice parameters (Å, degrees): 4.629 4.629 4.629 130.56 130.10 72.88
Sites, in units of the cell vectors:
Zn 0.000 0.000 0.000
Cu 0.250 0.750 0.500
Cu 0.750 0.250 0.500
Ag 0.500 0.500 0.000

=====

6.
First-principles (GGA-PBE) data for an optimized crystal structure of ZnCu2Ag, as listed in Alexandria.

Summary:
VASP energy   -3.069 eV/atom
Energy relative to the elements   0.010 eV/atom

Lattice parameters (Å, degrees): 3.999 3.917 7.220 90.00 90.00 90.00
Sites, in units of the cell vectors:
Zn 0.250 0.000 0.153
Zn 0.750 0.000 0.847
Cu 0.250 0.000 0.607
Cu 0.250 0.500 0.391
Cu 0.750 0.000 0.393
Cu 0.750 0.500 0.609
Ag 0.250 0.500 0.862
Ag 0.750 0.500 0.138

=====

7.
First-principles (GGA-PBE) data for an optimized crystal structure of Zn2CuAg, as listed in Alexandria.

Summary:
VASP energy   -2.184 eV/atom
Energy relative to the elements   0.189 eV/atom

Lattice parameters (Å, degrees): 9.637 9.637 9.637 157.49 157.49 32.04
Sites, in units of the cell vectors:
Zn 0.113 0.625 0.988
Zn 0.375 0.363 0.488
Zn 0.637 0.125 0.012
Zn 0.875 0.887 0.512
Cu 0.000 0.000 0.000
Cu 0.750 0.250 0.500
Ag 0.250 0.750 0.500
Ag 0.500 0.500 0.000

=====

8.
First-principles (GGA-PBE) data for an optimized crystal structure of Zn12Cu2Ag5, as listed in Alexandria.

Summary:
VASP energy   -1.990 eV/atom
Energy relative to the elements   -0.004 eV/atom
E above lowest polymorph   0.00 eV per formula unit

Lattice parameters (Å, degrees): 8.178 8.178 4.905 101.12 101.12 67.78
Sites, in units of the cell vectors:
Zn 0.052 0.052 0.290
Zn 0.057 0.551 0.802
Zn 0.149 0.650 0.387
Zn 0.350 0.851 0.613
Zn 0.394 0.394 0.982
Zn 0.449 0.943 0.198
Zn 0.551 0.057 0.802
Zn 0.606 0.606 0.018
Zn 0.650 0.149 0.387
Zn 0.851 0.350 0.613
Zn 0.943 0.449 0.198
Zn 0.948 0.948 0.710
Cu 0.251 0.749 0.000
Cu 0.749 0.251 0.000
Ag 0.163 0.163 0.884
Ag 0.278 0.278 0.457
Ag 0.500 0.500 0.500
Ag 0.722 0.722 0.543
Ag 0.837 0.837 0.116

=====

9.
First-principles (GGA-PBE) data for an optimized crystal structure of Zn8Cu2Ag, as listed in Alexandria.

Summary:
VASP energy   -1.891 eV/atom
Energy relative to the elements   0.040 eV/atom
E above lowest polymorph   0.66 eV per formula unit

Lattice parameters (Å, degrees): 6.755 6.755 4.684 100.13 100.13 121.28
Sites, in units of the cell vectors:
Zn 0.094 0.323 0.663
Zn 0.230 0.770 0.000
Zn 0.323 0.094 0.663
Zn 0.420 0.420 0.217
Zn 0.580 0.580 0.783
Zn 0.677 0.906 0.337
Zn 0.770 0.230 0.000
Zn 0.906 0.677 0.337
Cu 0.301 0.699 0.500
Cu 0.699 0.301 0.500
Ag 0.000 0.000 0.000

=====

10.
First-principles (GGA-PBE) data for an optimized crystal structure of Zn12Cu2Ag5, as listed in Alexandria.

Summary:
VASP energy   -1.899 eV/atom
Energy relative to the elements   0.087 eV/atom
E above lowest polymorph   1.73 eV per formula unit

Lattice parameters (Å, degrees): 7.054 7.054 9.865 98.57 98.57 42.48
Sites, in units of the cell vectors:
Zn 0.005 0.005 0.249
Zn 0.084 0.583 0.829
Zn 0.092 0.599 0.339
Zn 0.401 0.908 0.661
Zn 0.417 0.916 0.171
Zn 0.484 0.484 0.217
Zn 0.516 0.516 0.783
Zn 0.583 0.084 0.829
Zn 0.599 0.092 0.339
Zn 0.908 0.401 0.661
Zn 0.916 0.417 0.171
Zn 0.995 0.995 0.751
Cu 0.246 0.754 0.000
Cu 0.754 0.246 0.000
Ag 0.179 0.179 0.929
Ag 0.185 0.185 0.429
Ag 0.500 0.500 0.500
Ag 0.815 0.815 0.571
Ag 0.821 0.821 0.071

=====

11.
First-principles (GGA-PBE) data for an optimized crystal structure of ZnCu2Ag, as listed in Alexandria.

Summary:
VASP energy   -3.068 eV/atom
Energy relative to the elements   0.012 eV/atom

Lattice parameters (Å, degrees): 2.856 3.428 5.755 90.00 90.00 90.00
Sites, in units of the cell vectors:
Zn 0.000 0.000 0.000
Cu 0.500 0.500 0.227
Cu 0.500 0.500 0.773
Ag 0.000 0.000 0.500

=====

12.
First-principles (GGA-PBE) data for an optimized crystal structure of Zn4Cu3Ag, as listed in Alexandria.

Summary:
VASP energy   -2.582 eV/atom
Energy relative to the elements   -0.052 eV/atom

Lattice parameters (Å, degrees): 8.521 6.115 4.260 90.00 90.00 90.00
Sites, in units of the cell vectors:
Zn 0.000 0.234 0.000
Zn 0.000 0.766 0.000
Zn 0.250 0.234 0.497
Zn 0.250 0.766 0.497
Zn 0.500 0.234 0.000
Zn 0.500 0.766 0.000
Zn 0.750 0.234 0.503
Zn 0.750 0.766 0.503
Cu 0.000 0.000 0.500
Cu 0.250 0.000 0.996
Cu 0.250 0.500 0.997
Cu 0.500 0.000 0.500
Cu 0.750 0.000 0.004
Cu 0.750 0.500 0.003
Ag 0.000 0.500 0.500
Ag 0.500 0.500 0.500

=====

13.
First-principles (GGA-PBE) data for an optimized crystal structure of ZnCu2Ag, as listed in Alexandria.

Summary:
VASP energy   -3.061 eV/atom
Energy relative to the elements   0.018 eV/atom

Lattice parameters (Å, degrees): 4.689 4.689 4.678 101.70 101.70 34.19
Sites, in units of the cell vectors:
Zn 0.000 0.000 0.000
Cu 0.256 0.256 0.763
Cu 0.516 0.516 0.532
Ag 0.759 0.759 0.268

=====

14.
First-principles (GGA-PBE) data for an optimized crystal structure of Zn8CuAg5, as listed in Alexandria.

Summary:
VASP energy   -1.959 eV/atom
Energy relative to the elements   0.080 eV/atom

Lattice parameters (Å, degrees): 6.825 6.825 6.825 105.33 105.33 118.11
Sites, in units of the cell vectors:
Zn 0.139 0.734 0.855
Zn 0.191 0.237 0.784
Zn 0.266 0.122 0.406
Zn 0.453 0.407 0.216
Zn 0.593 0.809 0.046
Zn 0.716 0.861 0.594
Zn 0.763 0.547 0.954
Zn 0.878 0.284 0.145
Cu 0.000 0.000 0.000
Ag 0.267 0.518 0.567
Ag 0.300 0.733 0.251
Ag 0.482 0.050 0.749
Ag 0.750 0.250 0.500
Ag 0.950 0.700 0.433

=====

15.
First-principles (GGA-PBE) data for an optimized crystal structure of Zn3CuAg3, as listed in Alexandria.

Summary:
VASP energy   -2.282 eV/atom
Energy relative to the elements   0.071 eV/atom
E above lowest polymorph   0.00 eV per formula unit

Lattice parameters (Å, degrees): 5.468 5.468 8.117 90.01 90.01 79.16
Sites, in units of the cell vectors:
Zn 0.195 0.805 0.000
Zn 0.199 0.801 0.500
Zn 0.276 0.276 0.999
Zn 0.724 0.724 0.001
Zn 0.801 0.199 0.500
Zn 0.805 0.195 0.000
Cu 0.268 0.268 0.501
Cu 0.732 0.732 0.499
Ag 0.000 0.499 0.253
Ag 0.000 0.501 0.747
Ag 0.499 0.000 0.253
Ag 0.500 0.500 0.255
Ag 0.500 0.500 0.745
Ag 0.501 0.000 0.747

=====

16.
First-principles (GGA-PBE) data for an optimized crystal structure of ZnCu2Ag2, as listed in Alexandria.

Summary:
VASP energy   -2.924 eV/atom
Energy relative to the elements   0.110 eV/atom
E above lowest polymorph   0.00 eV per formula unit

Lattice parameters (Å, degrees): 6.311 6.311 3.936 90.00 90.00 90.00
Sites, in units of the cell vectors:
Zn 0.000 0.000 0.000
Zn 0.500 0.500 0.000
Cu 0.134 0.366 0.000
Cu 0.366 0.866 0.000
Cu 0.634 0.134 0.000
Cu 0.866 0.634 0.000
Ag 0.167 0.667 0.500
Ag 0.333 0.167 0.500
Ag 0.667 0.833 0.500
Ag 0.833 0.333 0.500

=====

17.
First-principles (GGA-PBE) data for an optimized crystal structure of Zn6CuAg, as listed in Alexandria.

Summary:
VASP energy   -1.834 eV/atom
Energy relative to the elements   -0.010 eV/atom
E above lowest polymorph   0.05 eV per formula unit

Lattice parameters (Å, degrees): 3.894 3.894 7.795 90.00 90.00 90.00
Sites, in units of the cell vectors:
Zn 0.000 0.000 0.000
Zn 0.000 0.000 0.500
Zn 0.000 0.500 0.237
Zn 0.000 0.500 0.763
Zn 0.500 0.000 0.237
Zn 0.500 0.000 0.763
Cu 0.500 0.500 0.000
Ag 0.500 0.500 0.500

=====

18.
First-principles (GGA-PBE) data for an optimized crystal structure of Zn8Cu5Ag, as listed in Alexandria.

Summary:
VASP energy   -2.337 eV/atom
Energy relative to the elements   0.057 eV/atom

Lattice parameters (Å, degrees): 6.475 6.475 6.475 113.37 113.37 101.93
Sites, in units of the cell vectors:
Zn 0.081 0.346 0.599
Zn 0.135 0.400 0.044
Zn 0.357 0.091 0.956
Zn 0.517 0.919 0.264
Zn 0.600 0.643 0.735
Zn 0.654 0.253 0.736
Zn 0.747 0.483 0.401
Zn 0.909 0.865 0.265
Cu 0.055 0.730 0.926
Cu 0.270 0.196 0.325
Cu 0.500 0.500 0.000
Cu 0.804 0.129 0.074
Cu 0.871 0.945 0.675
Ag 0.250 0.750 0.500

=====

19.
First-principles (GGA-PBE) data for an optimized crystal structure of Zn7Cu4Ag, as listed in Alexandria.

Summary:
VASP energy   -2.203 eV/atom
Energy relative to the elements   0.144 eV/atom

Lattice parameters (Å, degrees): 6.169 6.169 8.867 123.61 123.61 44.11
Sites, in units of the cell vectors:
Zn 0.000 0.000 0.000
Zn 0.156 0.156 0.592
Zn 0.285 0.285 0.134
Zn 0.434 0.434 0.653
Zn 0.566 0.566 0.347
Zn 0.715 0.715 0.866
Zn 0.844 0.844 0.408
Cu 0.068 0.068 0.784
Cu 0.197 0.197 0.343
Cu 0.803 0.803 0.657
Cu 0.932 0.932 0.216
Ag 0.500 0.500 0.000

=====

20.
First-principles (GGA-PBE) data for an optimized crystal structure of ZnCuAg2, as listed in Alexandria.

Summary:
VASP energy   -2.713 eV/atom
Energy relative to the elements   0.055 eV/atom

Lattice parameters (Å, degrees): 9.081 9.081 9.081 18.16 18.16 18.16
Sites, in units of the cell vectors:
Zn 0.000 0.000 0.000
Cu 0.500 0.500 0.500
Ag 0.248 0.248 0.248
Ag 0.752 0.752 0.752

=====

21.
First-principles (GGA-PBE) data for an optimized crystal structure of ZnCuAg2, as listed in Alexandria.

Summary:
VASP energy   -2.751 eV/atom
Energy relative to the elements   0.017 eV/atom

Lattice parameters (Å, degrees): 5.331 5.331 5.331 147.43 129.38 61.50
Sites, in units of the cell vectors:
Zn 0.000 0.000 0.000
Cu 0.778 0.278 0.500
Ag 0.254 0.754 0.500
Ag 0.529 0.529 0.000

=====

22.
First-principles (GGA-PBE) data for an optimized crystal structure of Zn12Cu6Ag, as listed in Alexandria.

Summary:
VASP energy   -2.241 eV/atom
Energy relative to the elements   0.007 eV/atom
E above lowest polymorph   1.10 eV per formula unit

Lattice parameters (Å, degrees): 6.646 6.646 6.646 101.96 101.96 101.96
Sites, in units of the cell vectors:
Zn 0.000 0.262 0.738
Zn 0.000 0.738 0.262
Zn 0.191 0.580 0.580
Zn 0.262 0.000 0.738
Zn 0.262 0.738 0.000
Zn 0.420 0.420 0.809
Zn 0.420 0.809 0.420
Zn 0.580 0.191 0.580
Zn 0.580 0.580 0.191
Zn 0.738 0.000 0.262
Zn 0.738 0.262 0.000
Zn 0.809 0.420 0.420
Cu 0.171 0.171 0.428
Cu 0.171 0.428 0.171
Cu 0.428 0.171 0.171
Cu 0.572 0.829 0.829
Cu 0.829 0.572 0.829
Cu 0.829 0.829 0.572
Ag 0.000 0.000 0.000